Material: Sm3TcC3
Method: DFT, PBE-GGA
State: relaxed

Computed properties:
Symmetry: P6_3/m, No. 176
Energy above the lowest structure with this stoichiometry (meV/atom): 75
Crystal system: hexagonal

Unit cell a=5.182 b=7.674 c=7.674 alpha=120.00 beta=90.00 gamma=90.00
Fractional positions:
Sm1 0.750 0.723 0.635
Sm2 0.750 0.365 0.088
Sm3 0.750 0.912 0.277
Sm4 0.250 0.277 0.365
Sm5 0.250 0.635 0.912
Sm6 0.250 0.088 0.723
Tc1 0.250 0.667 0.333
Tc2 0.750 0.333 0.667
C1 0.250 0.695 0.596
C2 0.250 0.404 0.099
C3 0.250 0.901 0.305
C4 0.750 0.305 0.404
C5 0.750 0.596 0.901
C6 0.750 0.099 0.695

***

Material: Sm2Tc2C3
Method: DFT, PBE-GGA
State: relaxed

Computed properties:
Symmetry: C2/m, No. 12
Crystal system: monoclinic

Unit cell a=3.393 b=5.802 c=6.196 alpha=114.57 beta=105.89 gamma=90.00
Fractional positions:
Sm1 0.393 0.184 0.786
Sm2 0.607 0.816 0.214
Tc1 0.160 0.319 0.320
Tc2 0.840 0.681 0.680
C1 0.000 0.000 0.000
C2 0.249 0.725 0.499
C3 0.751 0.275 0.501

***

Material: SmTcC
Method: DFT, PBE-GGA
State: relaxed

Computed properties:
Symmetry: Pmma, No. 51
Energy above the lowest structure with this stoichiometry (meV/atom): 0
Crystal system: orthorhombic

Unit cell a=3.616 b=5.698 c=5.261 alpha=90.00 beta=90.00 gamma=90.00
Fractional positions:
Sm1 0.500 0.750 0.748
Sm2 0.500 0.250 0.252
Tc1 0.000 0.750 0.258
Tc2 0.000 0.250 0.742
C1 0.000 0.000 0.500
C2 0.000 0.500 0.500

***

Material: SmTcC
Method: DFT, PBE-GGA
State: relaxed

Computed properties:
Symmetry: P3m1, No. 156
Energy above the lowest structure with this stoichiometry (meV/atom): 120
Crystal system: trigonal

Unit cell a=4.613 b=3.534 c=3.534 alpha=120.00 beta=90.00 gamma=90.00
Fractional positions:
C1 0.167 0.000 0.000
Tc1 0.167 0.333 0.667
Sm1 0.666 0.667 0.333

***

Material: SmTcC2
Method: DFT, PBE-GGA
State: relaxed

Computed properties:
Symmetry: Amm2, No. 38
Energy above the lowest structure with this stoichiometry (meV/atom): 0
Crystal system: orthorhombic

Unit cell a=3.970 b=3.887 c=3.887 alpha=103.01 beta=90.00 gamma=90.00
Fractional positions:
Sm1 0.000 0.023 0.977
Tc1 0.500 0.615 0.385
C1 0.500 0.140 0.564
C2 0.500 0.436 0.860

***

Material: SmTcC
Method: DFT, PBE-GGA
State: relaxed

Computed properties:
Symmetry: I4mm, No. 107
Energy above the lowest structure with this stoichiometry (meV/atom): 443
Crystal system: tetragonal

Unit cell a=2.982 b=2.982 c=5.500 alpha=105.73 beta=105.73 gamma=90.00
Fractional positions:
C1 0.715 0.715 0.431
Tc1 0.281 0.281 0.561
Sm1 0.004 0.004 0.008

***

Formation energy list, top to bottom, in eV/atom: -0.1719 -0.2643 -0.0875 0.0324 -0.0851 0.3558
Total energy list, top to bottom, in Ry/atom: -0.56067 -0.62676 -0.60199 -0.59318 -0.62241 -0.56941